# 1
Material: InPWAu2
Method: DFT, PBE
State: optimized geometry

a = 5.016 Å, b = 4.795 Å, c = 5.016 Å
α = 90.00°, β = 90.00°, γ = 90.00°
Fractional positions:
P  0.000  0.500  0.000
Au  0.000  0.000  0.500
Au  0.500  0.000  0.000
W  0.500  0.500  0.500
In  0.000  0.000  0.000

- density of states at the Fermi level (states/eV/atom) = 1.19
- energy of formation from the pure elements (meV per atom) = 1891
- size of the total moment (μB/f.u.) = 0.0

***

# 2
Material: TcSe
Method: DFT, PBE
State: optimized geometry

a = 3.127 Å, b = 4.395 Å, c = 4.395 Å
α = 90.00°, β = 90.00°, γ = 90.00°
Fractional positions:
Se  0.000  0.000  0.917
Se  0.000  0.500  0.417
Tc  0.500  0.000  0.417
Tc  0.500  0.500  0.916

- density of states at the Fermi level (states/eV/atom) = 0.60
- size of the total moment (μB/f.u.) = 0.0
- ΔE_f (raw) (eV per atom) = 0.177

***

# 3
Material: Pm3Sn4
Method: DFT, PBE
State: optimized geometry

a = 4.426 Å, b = 6.260 Å, c = 15.741 Å
α = 90.00°, β = 90.00°, γ = 110.71°
Fractional positions:
Pm  0.669  0.338  0.098
Pm  0.334  0.667  0.903
Pm  0.669  0.337  0.403
Pm  0.333  0.667  0.598
Pm  0.948  0.897  0.250
Pm  0.054  0.108  0.750
Sn  0.216  0.432  0.250
Sn  0.786  0.573  0.750
Sn  0.379  0.758  0.108
Sn  0.001  0.002  0.000
Sn  0.379  0.758  0.393
Sn  0.623  0.246  0.893
Sn  0.001  0.002  0.500
Sn  0.623  0.246  0.608

- density of states at the Fermi level (states/eV/atom) = 0.42
- energy of formation from the pure elements (meV per atom) = -719
- size of the total moment (μB/f.u.) = 0.0

***

# 4
Material: TiTe2CCl
Method: DFT, PBE
State: optimized geometry

a = 5.665 Å, b = 4.432 Å, c = 5.665 Å
α = 90.00°, β = 90.00°, γ = 90.00°
Fractional positions:
Cl  0.000  0.000  0.000
C  0.500  0.500  0.500
Te  0.000  0.000  0.500
Te  0.500  0.000  0.000
Ti  0.000  0.500  0.000

- density of states at the Fermi level (states/eV/atom) = 1.16
- size of the total moment (μB/f.u.) = 2.6
- ΔE_f (raw) (eV per atom) = 1.811